Ce6HgRu5 | PBE-GGA | relaxed

Cell lengths 5.1616, 6.8862, 7.5311 Å; angles 90.00, 108.14, 90.00 degrees
Space group P2/m (No. 10)
Unique sites:
Ce1 0.0000 0.2380 0.0000 x2
Ce2 0.3462 0.2421 0.6325 x4
Hg1 0.5000 0.5000 0.0000 x1
Ru1 0.0791 0.0000 0.2996 x2
Ru2 0.1004 0.5000 0.3140 x2
Ru3 0.5000 0.0000 0.0000 x1

Results
M_tot in μB per formula unit: 0.0
Offset from the most stable computed form in meV/atom: 0.0